Arrangement a

DFT (PBEsol) results for crystalline BeAsSe at its relaxed geometry.

abc: 5.531 5.531 5.531
angles: 146.41 146.41 48.24
Sites, in units of the cell vectors:
Be 0.000 0.000 0.000
As 0.364 0.364 0.000
Se 0.605 0.605 0.000

Space group   I4mm (107)
Total magnetization   0.00 μB per cell

=====

Arrangement b

DFT (PBEsol) results for crystalline BeAsSe at its relaxed geometry.

abc: 5.983 5.630 3.320
angles: 79.34 67.62 33.04
Sites, in units of the cell vectors:
Be 0.000 0.000 0.000
As 0.371 0.371 0.629
Se 0.616 0.616 0.384

Space group   Fmm2 (42)
Total magnetization   0.00 μB per cell

=====

Compare the structures above. Which one is the least stable? arrangement a is.